CeDyCoRh, optimized geometry, DFT PBE-GGA; energy relative to the elements = -0.419 eV per atom; uncorrected energy = -6.667 eV/atom; magnetization = 0.0785 μB per atom
1.0
0.000 3.413 3.413
3.413 0.000 3.413
3.413 3.413 0.000
Ce Dy Co Rh
1 1 1 1
direct
0.000 0.000 0.000 Ce
0.500 0.500 0.500 Dy
0.750 0.750 0.750 Co
0.250 0.250 0.250 Rh